Record 1
Below is a relaxed HgAsRu2 crystal, with properties calculated at the PBE-GGA level.

```
HgAsRu2
1.0
3.016 0.000 0.000
0.000 3.871 0.000
-1.497 0.000 5.648
Hg As Ru
1 1 2
Direct
0.000 0.000 0.000 Hg
0.500 0.000 0.500 As
0.356 0.500 0.713 Ru
0.644 0.500 0.287 Ru
```

Computed properties:
Crystal system ... monoclinic
ΔE to the lowest computed polymorph ... 0.0925 eV/atom
ρ ... 12.03 g/cm³
Formation energy ... 0.272 eV/atom


Record 2
Below is a relaxed Hg2AsRu crystal, with properties calculated at the PBE-GGA level.

```
Hg2AsRu
1.0
2.093 -2.106 0.000
2.093 2.106 0.000
0.000 0.000 9.038
Hg As Ru
2 1 1
Direct
0.000 0.000 0.223 Hg
0.000 0.000 0.777 Hg
0.500 0.500 0.500 As
0.500 0.500 0.000 Ru
```

Computed properties:
Crystal system ... orthorhombic
ρ ... 12.03 g/cm³
Formation energy ... 0.577 eV/atom


Record 3
Below is a relaxed HgAsRu crystal, with properties calculated at the PBE-GGA level.

```
HgAsRu
1.0
3.122 0.000 0.000
-1.561 2.704 0.000
0.000 0.000 6.817
Hg As Ru
1 1 1
Direct
0.000 0.000 0.000 Hg
0.667 0.333 0.579 As
0.333 0.667 0.340 Ru
```

Computed properties:
Crystal system ... trigonal
ΔE to the lowest computed polymorph ... 0.0396 eV/atom
ρ ... 10.87 g/cm³
Formation energy ... 0.060 eV/atom


Record 4
Below is a relaxed Hg2AsRu crystal, with properties calculated at the PBE-GGA level.

```
Hg2AsRu
1.0
-5.273 5.273 2.294
5.273 -5.273 2.294
5.273 5.273 -2.294
Hg As Ru
4 2 2
Direct
0.375 0.126 0.251 Hg
0.874 0.125 0.249 Hg
0.875 0.124 0.749 Hg
0.876 0.625 0.751 Hg
0.250 0.750 0.500 As
0.500 0.500 0.000 As
0.000 0.000 0.000 Ru
0.750 0.250 0.500 Ru
```

Computed properties:
Crystal system ... tetragonal
ρ ... 7.51 g/cm³
Formation energy ... 0.211 eV/atom


Record 5
Below is a relaxed HgAsRu2 crystal, with properties calculated at the PBE-GGA level.

```
HgAsRu2
1.0
2.900 0.000 0.000
0.000 2.900 0.000
0.000 0.000 8.401
Hg As Ru
1 1 2
Direct
0.000 0.000 0.000 Hg
0.500 0.500 0.644 As
0.000 0.000 0.451 Ru
0.500 0.500 0.247 Ru
```

Computed properties:
Crystal system ... tetragonal
ΔE to the lowest computed polymorph ... 0.0383 eV/atom
ρ ... 11.23 g/cm³
Formation energy ... 0.217 eV/atom


Record 6
Below is a relaxed HgAsRu crystal, with properties calculated at the PBE-GGA level.

```
HgAsRu
1.0
0.000 3.107 3.107
3.107 0.000 3.107
3.107 3.107 0.000
Hg As Ru
1 1 1
Direct
0.000 0.000 0.000 Hg
0.500 0.500 0.500 As
0.250 0.250 0.250 Ru
```

Computed properties:
Crystal system ... cubic
ΔE to the lowest computed polymorph ... 0.3594 eV/atom
ρ ... 10.43 g/cm³
Formation energy ... 0.380 eV/atom


Record 7
Below is a relaxed HgAsRu2 crystal, with properties calculated at the PBE-GGA level.

```
HgAsRu2
1.0
2.958 -4.304 0.000
2.958 4.304 0.000
-1.387 0.000 2.625
Hg As Ru
1 1 2
Direct
0.000 0.000 0.000 Hg
0.500 0.500 0.000 As
0.000 0.500 0.500 Ru
0.500 0.000 0.500 Ru
```

Computed properties:
Crystal system ... monoclinic
ΔE to the lowest computed polymorph ... 0.4184 eV/atom
ρ ... 11.86 g/cm³
Formation energy ... 0.597 eV/atom


Record 8
Below is a relaxed HgAs2Ru2 crystal, with properties calculated at the PBE-GGA level.

```
HgAs2Ru2
1.0
7.438 0.000 0.000
0.000 7.438 0.000
0.000 0.000 3.017
Hg As Ru
2 4 4
Direct
0.000 0.000 0.000 Hg
0.500 0.500 0.000 Hg
0.143 0.357 0.500 As
0.357 0.857 0.500 As
0.643 0.143 0.500 As
0.857 0.643 0.500 As
0.140 0.640 0.000 Ru
0.360 0.140 0.000 Ru
0.640 0.860 0.000 Ru
0.860 0.360 0.000 Ru
```

Computed properties:
Crystal system ... tetragonal
ΔE to the lowest computed polymorph ... 0.0000 eV/atom
ρ ... 10.99 g/cm³
Formation energy ... 0.072 eV/atom


Record 9
Below is a relaxed Hg3AsRu crystal, with properties calculated at the PBE-GGA level.

```
Hg3AsRu
1.0
5.228 0.000 0.000
0.000 5.228 0.000
0.000 0.000 5.228
Hg As Ru
3 1 1
Direct
0.000 0.000 0.500 Hg
0.000 0.500 0.000 Hg
0.500 0.000 0.000 Hg
0.000 0.000 0.000 As
0.500 0.500 0.500 Ru
```

Computed properties:
Crystal system ... cubic
ΔE to the lowest computed polymorph ... 0.2595 eV/atom
ρ ... 9.04 g/cm³
Formation energy ... 1.181 eV/atom


Record 10
Below is a relaxed HgAsRu2 crystal, with properties calculated at the PBE-GGA level.

```
HgAsRu2
1.0
1.528 -2.574 0.000
1.528 2.574 0.000
0.000 0.000 8.522
Hg As Ru
1 1 2
Direct
0.000 0.000 0.000 Hg
0.000 0.000 0.500 As
0.500 0.500 0.284 Ru
0.500 0.500 0.716 Ru
```

Computed properties:
Crystal system ... orthorhombic
ΔE to the lowest computed polymorph ... 0.1997 eV/atom
ρ ... 11.83 g/cm³
Formation energy ... 0.379 eV/atom


Record 11
Below is a relaxed HgAsRu2 crystal, with properties calculated at the PBE-GGA level.

```
HgAsRu2
1.0
-1.522 1.602 7.151
1.522 -1.602 7.151
1.522 1.602 -7.151
Hg As Ru
1 1 2
Direct
0.000 0.000 0.000 Hg
0.743 0.243 0.500 As
0.168 0.668 0.500 Ru
0.367 0.367 0.000 Ru
```

Computed properties:
Crystal system ... orthorhombic
ΔE to the lowest computed polymorph ... 0.0617 eV/atom
ρ ... 11.38 g/cm³
Formation energy ... 0.241 eV/atom


Record 12
Below is a relaxed Hg2AsRu crystal, with properties calculated at the PBE-GGA level.

```
Hg2AsRu
1.0
2.728 -5.203 0.000
2.728 5.203 0.000
-1.886 0.000 2.775
Hg As Ru
2 1 1
Direct
0.000 0.500 0.000 Hg
0.500 0.000 0.000 Hg
0.000 0.000 0.000 As
0.500 0.500 0.000 Ru
```

Computed properties:
Crystal system ... monoclinic
ρ ... 12.17 g/cm³
Formation energy ... 0.545 eV/atom


The highest ρ belongs to which entry?
number 12


What is the ρ in the eleventh record?
11.38 g/cm³